(1)
Computed, not measured: a geometry-optimized NaTcH2 structure at the PBE level of DFT.

- Mass density: 5.28 g cm⁻³
- DOS(E_F): 0.50 states/eV/atom
- Total energy: -14.64 eV/f.u.
- Magnetic moment: 1.6 μB/f.u.
- Crystal system: cubic
- V: 155 Å³/cell

Cell: 5.369 5.369 5.369 Å, 90.00 90.00 90.00°
Space group Fm-3m (No. 225)
One atom of each set of equivalent atoms:
Na  0.000  0.000  0.000 x4
Tc  0.000  0.000  0.500 x4
H  0.250  0.250  0.250 x8

***

(2)
Computed, not measured: a geometry-optimized CdSN2Cl structure at the PBE level of DFT.

- Mass density: 4.35 g cm⁻³
- DOS(E_F): 0.51 states/eV/atom
- Magnetic moment: 2.5 μB/f.u.
- Crystal system: tetragonal
- V: 79 Å³/cell
- Uncorrected formation energy: 1.991 eV per atom

Cell: 4.041 4.041 4.861 Å, 90.00 90.00 90.00°
Space group P4/mmm (No. 123)
One atom of each set of equivalent atoms:
Cd  0.000  0.000  0.000 x1
S  0.500  0.500  0.000 x1
N  0.000  0.500  0.500 x2
Cl  0.500  0.500  0.500 x1

***

(3)
Computed, not measured: a geometry-optimized SrOsAu2 structure at the PBE level of DFT.

- Mass density: 13.73 g cm⁻³
- DOS(E_F): 0.60 states/eV/atom
- DFT formation energy: 0.3822 eV/atom
- Magnetic moment: 0.2 μB/f.u.
- Crystal system: monoclinic
- V: 162 Å³/cell

Cell: 10.832 3.075 5.279 Å, 90.00 112.49 90.00°
Space group Cm (No. 8)
One atom of each set of equivalent atoms:
Sr  0.000  0.000  0.000 x2
Os  0.250  0.500  0.419 x2
Au  0.233  0.000  0.843 x2
Au  0.471  0.000  0.465 x2

***

(4)
Computed, not measured: a geometry-optimized AlCr2CoRu structure at the PBE level of DFT.

- Mass density: 5.26 g cm⁻³
- DOS(E_F): 1.12 states/eV/atom
- DFT formation energy: 1.2398 eV/atom
- Magnetic moment: 5.5 μB/f.u.
- Crystal system: tetragonal
- V: 92 Å³/cell

Cell: 4.520 4.520 4.493 Å, 90.00 90.00 90.00°
Space group P4/mmm (No. 123)
One atom of each set of equivalent atoms:
Al  0.000  0.000  0.000 x1
Cr  0.000  0.500  0.500 x2
Co  0.500  0.500  0.000 x1
Ru  0.500  0.500  0.500 x1

***

(5)
Computed, not measured: a geometry-optimized CaBePt structure at the PBE level of DFT.

- Mass density: 7.27 g cm⁻³
- DOS(E_F): 0.35 states/eV/atom
- DFT formation energy: -0.2499 eV/atom
- Magnetic moment: 0.0 μB/f.u.
- Crystal system: cubic
- V: 223 Å³/cell

Cell: 6.065 6.065 6.065 Å, 90.00 90.00 90.00°
Space group F-43m (No. 216)
One atom of each set of equivalent atoms:
Ca  0.000  0.000  0.000 x4
Be  0.250  0.250  0.750 x4
Pt  0.000  0.000  0.500 x4

***

(6)
Computed, not measured: a geometry-optimized Ti3Pd2Au4 structure at the PBE level of DFT.

- Mass density: 12.62 g cm⁻³
- DOS(E_F): 0.93 states/eV/atom
- DFT formation energy: -0.4223 eV/atom
- Magnetic moment: 0.0 μB/f.u.
- Crystal system: monoclinic
- V: 602 Å³/cell

Cell: 12.911 9.739 4.865 Å, 90.00 100.11 90.00°
Space group C2/c (No. 15)
One atom of each set of equivalent atoms:
Ti  0.000  0.115  0.250 x4
Ti  0.166  0.371  0.081 x8
Pd  0.111  0.122  0.808 x8
Au  0.055  0.368  0.526 x8
Au  0.223  0.122  0.360 x8

***

(7)
Computed, not measured: a geometry-optimized Ag2TeAs2 structure at the PBE level of DFT.

- Mass density: 7.57 g cm⁻³
- DOS(E_F): 0.33 states/eV/atom
- Magnetic moment: 0.0 μB/f.u.
- Crystal system: tetragonal
- V: 216 Å³/cell
- Uncorrected formation energy: 0.237 eV per atom

Cell: 8.396 8.396 3.070 Å, 90.00 90.00 90.00°
Space group P4/mbm (No. 127)
One atom of each set of equivalent atoms:
Ag  0.176  0.324  0.000 x4
Te  0.000  0.000  0.000 x2
As  0.109  0.609  0.500 x4

***

(8)
Computed, not measured: a geometry-optimized ZrHgPb2 structure at the PBE level of DFT.

- Mass density: 10.75 g cm⁻³
- DOS(E_F): 0.42 states/eV/atom
- DFT formation energy: 0.2952 eV/atom
- Magnetic moment: 0.0 μB/f.u.
- Crystal system: tetragonal
- V: 436 Å³/cell

Cell: 8.288 8.288 6.351 Å, 90.00 90.00 90.00°
Space group I-42d (No. 122)
One atom of each set of equivalent atoms:
Zr  0.000  0.000  0.000 x4
Hg  0.000  0.000  0.500 x4
Pb  0.243  0.250  0.625 x8